(1)
Here is an optimized crystal structure of EuY2Co from Alexandria. Energies are from PBE.

Summary:
V = 30.62 Å³ per atom
Crystal system = trigonal
Formation energy from the elements = -20 meV per atom

Structure (POSCAR):
```
EuY2Co
1.0
1.944 1.123 9.352
-1.944 1.123 9.352
0.000 -2.245 9.352
Eu Y Co
1 2 1
Cartesian
0.000 0.000 0.000
0.000 0.000 6.124
0.000 0.000 21.933
0.000 0.000 14.029
```


(2)
Here is an optimized crystal structure of EuYCo from Alexandria. Energies are from PBE.

Summary:
V = 25.62 Å³ per atom
Crystal system = tetragonal
Formation energy from the elements = 27 meV per atom

Structure (POSCAR):
```
EuYCo
1.0
-1.723 1.723 6.469
1.723 -1.723 6.469
1.723 1.723 -6.469
Eu Y Co
1 1 1
Cartesian
0.000 0.000 0.000
0.000 0.000 3.308
0.000 0.000 8.311
```


The highest V belongs to which entry?
EuY2Co


The highest formation energy from the elements belongs to which entry?
EuYCo


Which of these has the lowest formation energy from the elements?
EuY2Co


What did the first record say?
Here is an optimized crystal structure of EuY2Co from Alexandria. Energies are from PBE.

Summary:
V = 30.62 Å³ per atom
Crystal system = trigonal
Formation energy from the elements = -20 meV per atom

Structure (POSCAR):
```
EuY2Co
1.0
1.944 1.123 9.352
-1.944 1.123 9.352
0.000 -2.245 9.352
Eu Y Co
1 2 1
Cartesian
0.000 0.000 0.000
0.000 0.000 6.124
0.000 0.000 21.933
0.000 0.000 14.029
```